VASP calculation (GGA-PBE) on a geometry-optimized RbTmTe3Pb structure. Values from VASP.

The structure in Quantum ESPRESSO input format:
```
&SYSTEM
  ibrav = 0, nat = 24, ntyp = 4
/
ATOMIC_SPECIES
Rb 85.47 Rb.upf
Tm 168.93 Tm.upf
Te 127.60 Te.upf
Pb 207.20 Pb.upf
CELL_PARAMETERS angstrom
16.9146 0.0000 0.0000
0.0000 4.4454 0.0000
0.0000 0.0000 12.7101
ATOMIC_POSITIONS angstrom
Rb 3.8616 1.1113 0.9697
Rb 4.5957 3.3340 7.3247
Rb 12.3189 1.1113 5.3854
Rb 13.0530 3.3340 11.7404
Tm 0.1546 3.3340 8.2001
Tm 8.3027 1.1113 1.8451
Tm 8.6119 3.3340 10.8650
Tm 16.7601 1.1113 4.5099
Te 1.5229 3.3340 3.1140
Te 1.7431 1.1113 6.8534
Te 2.3737 3.3340 10.4203
Te 6.0837 1.1113 4.0653
Te 6.7143 3.3340 0.4984
Te 6.9344 1.1113 9.4691
Te 9.9802 3.3340 3.2410
Te 10.2004 1.1113 12.2117
Te 10.8310 3.3340 8.6448
Te 14.5410 1.1113 2.2897
Te 15.1716 3.3340 5.8566
Te 15.3917 1.1113 9.5960
Pb 0.6674 1.1113 11.5675
Pb 7.7900 3.3340 5.2125
Pb 9.1247 1.1113 7.4976
Pb 16.2473 3.3340 1.1426
```

Properties
Relative energy among the computed polymorphs = 0 meV per atom
Space group = Pnma (62)